Material: Pm2Zn17Ru3
Method: DFT, PBE-GGA
State: optimized geometry

Formation energy   -0.081 eV per atom

abc: 5.1334 8.5759 8.8166
angles: 93.40 93.59 95.54
Last column: nearest neighbours and their distance in Å.
Sites, in units of the cell vectors:
Pm 0.2291 0.2143 0.2294  1 Ru 2.77, 2 Zn 3.09
Pm 0.7709 0.7857 0.7706  1 Ru 2.77, 2 Zn 3.09
Zn 0.0000 0.0000 0.5000  6 Zn 2.53-2.80, 2 Ru 2.57
Zn 0.0000 0.5000 0.0000  2 Ru 2.57, 8 Zn 2.57-2.75
Zn 0.1858 0.2557 0.8836  6 Zn 2.55-2.80, 2 Ru 2.60-2.63
Zn 0.2150 0.7345 0.5275  6 Zn 2.61-2.81, 1 Ru 2.62
Zn 0.2191 0.5284 0.7353  7 Zn 2.61-2.86, 1 Ru 2.70
Zn 0.2900 0.6027 0.2480  7 Zn 2.62-2.86, 1 Ru 2.64
Zn 0.2920 0.2456 0.5948  8 Zn 2.53-2.81, 1 Ru 2.57
Zn 0.3082 0.7810 0.9978  2 Ru 2.57-2.69, 5 Zn 2.75-2.80
Zn 0.3143 0.9960 0.7713  4 Zn 2.55-2.80, 2 Ru 2.63-2.66
Zn 0.5000 0.5000 0.5000  8 Zn 2.55-2.64
Zn 0.6857 0.0040 0.2287  4 Zn 2.55-2.80, 2 Ru 2.63-2.66
Zn 0.6918 0.2190 0.0022  2 Ru 2.57-2.69, 5 Zn 2.75-2.80
Zn 0.7080 0.7544 0.4052  8 Zn 2.53-2.81, 1 Ru 2.57
Zn 0.7100 0.3973 0.7520  7 Zn 2.62-2.86, 1 Ru 2.64
Zn 0.7809 0.4716 0.2647  7 Zn 2.61-2.86, 1 Ru 2.70
Zn 0.7850 0.2655 0.4725  6 Zn 2.61-2.81, 1 Ru 2.62
Zn 0.8142 0.7443 0.1164  6 Zn 2.55-2.80, 2 Ru 2.60-2.63
Ru 0.0000 0.0000 0.0000  6 Zn 2.57-2.66, 2 Pm 2.77
Ru 0.5000 0.0000 0.5000  8 Zn 2.57-2.63
Ru 0.5000 0.5000 0.0000  10 Zn 2.57-2.70



Material: CsK2SrAs
Method: DFT, PBE-GGA
State: optimized geometry

Energy above the lowest structure with this stoichiometry   0.0 kJ per mole of atoms
Formation energy   -0.275 eV per atom

abc: 6.8133 6.8133 6.1298
angles: 90.00 90.00 90.00
Last column: nearest neighbours and their distance in Å.
Sites, in units of the cell vectors:
Cs 0.0000 0.0000 0.0000  8 K 4.58, 4 Sr 4.82
K 0.0000 0.5000 0.5000  2 As 3.41
K 0.5000 0.0000 0.5000  2 As 3.41
Sr 0.5000 0.5000 0.0000  2 As 3.06
As 0.5000 0.5000 0.5000  2 Sr 3.06, 4 K 3.41



Material: CaAcTb2
Method: DFT, PBE-GGA
State: optimized geometry

Energy above the lowest structure with this stoichiometry   2.8 kJ per mole of atoms
Formation energy   0.119 eV per atom

abc: 5.2012 5.2012 5.4361
angles: 90.00 90.00 90.00
Last column: nearest neighbours and their distance in Å.
Sites, in units of the cell vectors:
Ca 0.0000 0.0000 0.0000  4 Ac 3.68, 8 Tb 3.76
Ac 0.5000 0.5000 0.0000  4 Ca 3.68, 8 Tb 3.76
Tb 0.0000 0.5000 0.5000  4 Tb 3.68, 4 Ac 3.76, 4 Ca 3.76
Tb 0.5000 0.0000 0.5000  4 Tb 3.68, 4 Ac 3.76, 4 Ca 3.76



Material: BeZn3Ni12
Method: DFT, PBE-GGA
State: optimized geometry

Formation energy   -0.120 eV per atom

abc: 3.5416 3.5416 14.0913
angles: 90.00 90.00 90.00
Last column: nearest neighbours and their distance in Å.
Sites, in units of the cell vectors:
Be 0.0000 0.0000 0.0000  12 Ni 2.40-2.50
Zn 0.0000 0.0000 0.2437  12 Ni 2.50-2.53
Zn 0.0000 0.0000 0.5000  12 Ni 2.50-2.53
Zn 0.0000 0.0000 0.7563  12 Ni 2.50-2.53
Ni 0.0000 0.5000 0.1151  8 Ni 2.40-2.54, 2 Be 2.40, 2 Zn 2.53
Ni 0.0000 0.5000 0.3719  8 Ni 2.50-2.53, 4 Zn 2.53
Ni 0.0000 0.5000 0.6281  8 Ni 2.50-2.53, 4 Zn 2.53
Ni 0.0000 0.5000 0.8849  8 Ni 2.40-2.54, 2 Be 2.40, 2 Zn 2.53
Ni 0.5000 0.0000 0.1151  8 Ni 2.40-2.54, 2 Be 2.40, 2 Zn 2.53
Ni 0.5000 0.0000 0.3719  8 Ni 2.50-2.53, 4 Zn 2.53
Ni 0.5000 0.0000 0.6281  8 Ni 2.50-2.53, 4 Zn 2.53
Ni 0.5000 0.0000 0.8849  8 Ni 2.40-2.54, 2 Be 2.40, 2 Zn 2.53
Ni 0.5000 0.5000 0.0000  8 Ni 2.40, 4 Be 2.50
Ni 0.5000 0.5000 0.2442  4 Zn 2.50, 8 Ni 2.52-2.54
Ni 0.5000 0.5000 0.5000  4 Zn 2.50, 8 Ni 2.53
Ni 0.5000 0.5000 0.7558  4 Zn 2.50, 8 Ni 2.52-2.54



Material: La2Nd7Sm2
Method: DFT, PBE-GGA
State: optimized geometry

Energy above the lowest structure with this stoichiometry   2.5 kJ per mole of atoms
Formation energy   0.137 eV per atom

abc: 8.2845 8.2845 6.2216
angles: 105.70 105.70 90.32
Last column: nearest neighbours and their distance in Å.
Sites, in units of the cell vectors:
La 0.2175 0.7825 0.0000  6 Nd 3.43-3.63, 2 Sm 3.77
La 0.7825 0.2175 0.0000  6 Nd 3.43-3.63, 2 Sm 3.77
Nd 0.0000 0.0000 0.5000  6 Nd 3.34-3.65
Nd 0.0545 0.5913 0.3299  3 Nd 3.21-3.47, 2 La 3.43-3.59
Nd 0.2350 0.2350 0.0921  5 Nd 3.47-3.66, 3 Sm 3.52-3.82, 2 La 3.63
Nd 0.4087 0.9455 0.6701  3 Nd 3.21-3.47, 2 La 3.43-3.59
Nd 0.5913 0.0545 0.3299  3 Nd 3.21-3.47, 2 La 3.43-3.59
Nd 0.7650 0.7650 0.9079  5 Nd 3.47-3.66, 3 Sm 3.52-3.82, 2 La 3.63
Nd 0.9455 0.4087 0.6701  3 Nd 3.21-3.47, 2 La 3.43-3.59
Sm 0.4156 0.4156 0.6933  7 Nd 3.52-3.86, 2 Sm 3.56-3.65, 2 La 3.77
Sm 0.5844 0.5844 0.3067  7 Nd 3.52-3.86, 2 Sm 3.56-3.65, 2 La 3.77



Material: BaMoOsPb2
Method: DFT, PBE-GGA
State: optimized geometry

Energy above the lowest structure with this stoichiometry   162.7 kJ per mole of atoms
Formation energy   2.831 eV per atom

abc: 5.9822 5.9822 4.9977
angles: 90.00 90.00 90.00
Last column: nearest neighbours and their distance in Å.
Sites, in units of the cell vectors:
Ba 0.0000 0.0000 0.0000  2 Os 2.50
Mo 0.5000 0.5000 0.5000  8 Pb 3.90, 4 Os 4.23
Os 0.0000 0.0000 0.5000  2 Ba 2.50
Pb 0.0000 0.5000 0.0000  2 Ba 2.99
Pb 0.5000 0.0000 0.0000  2 Ba 2.99



Material: K3GeW
Method: DFT, PBE-GGA
State: optimized geometry

Energy above the lowest structure with this stoichiometry   0.0 kJ per mole of atoms
Formation energy   1.538 eV per atom

abc: 6.4436 6.4436 6.4436
angles: 90.00 90.00 90.00
Last column: nearest neighbours and their distance in Å.
Sites, in units of the cell vectors:
K 0.0000 0.0000 0.5000  2 Ge 3.22
K 0.0000 0.5000 0.0000  2 Ge 3.22
K 0.5000 0.0000 0.0000  2 Ge 3.22
Ge 0.0000 0.0000 0.0000  6 K 3.22
W 0.5000 0.5000 0.5000  12 K 4.56



Material: TmNp2CuSe5
Method: DFT, PBE-GGA
State: optimized geometry

ΔE_f (raw)   -1.1655 eV/atom

abc: 8.9008 8.9008 12.0018
angles: 90.00 90.00 154.12
Last column: nearest neighbours and their distance in Å.
Sites, in units of the cell vectors:
Tm 0.1939 0.8061 0.5000  6 Se 2.73-2.84
Tm 0.8061 0.1939 0.0000  6 Se 2.73-2.84
Np 0.1119 0.8881 0.1714  8 Se 2.98-3.10
Np 0.1191 0.8809 0.8008  6 Se 2.91-3.06
Np 0.8809 0.1191 0.3008  6 Se 2.91-3.06
Np 0.8881 0.1119 0.6714  8 Se 2.98-3.10
Cu 0.4355 0.5645 0.9389  4 Se 2.40-2.52
Cu 0.5645 0.4355 0.4389  4 Se 2.40-2.52
Se 0.0404 0.9596 0.5484  2 Cu 2.42
Se 0.2907 0.7093 0.1640  2 Tm 2.81, 3 Np 3.02-3.10
Se 0.3100 0.6899 0.8338  1 Cu 2.52
Se 0.3578 0.6422 0.4908  1 Tm 2.84, 4 Np 2.99-3.06
Se 0.5003 0.4997 0.2618  1 Cu 2.40
Se 0.4997 0.5003 0.7618  1 Cu 2.40
Se 0.6422 0.3578 0.9908  1 Tm 2.84, 4 Np 2.99-3.06
Se 0.6899 0.3100 0.3338  1 Cu 2.52
Se 0.7093 0.2907 0.6640  2 Tm 2.81, 3 Np 3.02-3.10
Se 0.9596 0.0404 0.0484  2 Cu 2.42